{
  "formula": "YEr3V4O16",
  "functional": "PBEsol",
  "state": "relaxed",
  "cell": [[5.881, -0.010, 0.000], [-2.593, 5.278, 0.000], [0.000, 0.000, 9.990]],
  "species": ["O", "O", "O", "O", "O", "O", "O", "O", "O", "O", "O", "O", "O", "O", "O", "O", "Er", "Er", "Er", "V", "V", "V", "V", "Y"],
  "fractional_positions": [[0.915, 0.231, 0.341], [0.418, 0.232, 0.407], [0.917, 0.731, 0.907], [0.231, 0.915, 0.659], [0.768, 0.582, 0.593], [0.232, 0.418, 0.593], [0.730, 0.417, 0.156], [0.769, 0.085, 0.659], [0.083, 0.269, 0.907], [0.269, 0.083, 0.093], [0.731, 0.917, 0.093], [0.417, 0.730, 0.844], [0.085, 0.769, 0.341], [0.582, 0.768, 0.407], [0.270, 0.583, 0.156], [0.583, 0.270, 0.844], [0.000, 0.500, 0.751], [0.500, 0.000, 0.249], [0.500, 0.500, 0.000], [0.500, 0.000, 0.752], [0.000, 0.000, 0.000], [0.500, 0.500, 0.500], [0.000, 0.500, 0.248], [0.000, 0.000, 0.500]],
  "raw_formation_energy_ev_per_atom": -3.06,
  "magmom_total_mub_per_fu": 0.0,
  "sg": "C222, No. 21",
  "total_energy_ev_per_atom": -9.0682
}